Entry 1:
Entry from Alexandria: a geometry-optimized Ho6Al7 structure (PBE).

a b c (Å): 10.9341 10.9341 10.9341
angles (deg): 29.94 29.94 29.94
Last column: nearest neighbours and their distance in Å.
Sites, in units of the cell vectors:
Ho 0.0504 0.0504 0.0504  2 Ho 3.10-3.16, 6 Al 3.15
Ho 0.1494 0.1494 0.1494  4 Ho 3.10-3.44, 12 Al 3.22-3.31
Ho 0.3349 0.3349 0.3349  9 Ho 3.26-3.64, 6 Al 3.35-3.41
Ho 0.6651 0.6651 0.6651  9 Ho 3.26-3.64, 6 Al 3.35-3.41
Ho 0.8506 0.8506 0.8506  4 Ho 3.10-3.44, 12 Al 3.22-3.31
Ho 0.9496 0.9496 0.9496  2 Ho 3.10-3.16, 6 Al 3.15
Al 0.0891 0.5973 0.5973  5 Al 2.78-2.87
Al 0.4027 0.4027 0.9109  5 Al 2.78-2.87
Al 0.4027 0.9109 0.4027  5 Al 2.78-2.87
Al 0.5000 0.5000 0.5000  6 Al 2.80
Al 0.5973 0.0891 0.5973  5 Al 2.78-2.87
Al 0.5973 0.5973 0.0891  5 Al 2.78-2.87
Al 0.9109 0.4027 0.4027  5 Al 2.78-2.87

Values from the calculation:
* symmetry: No. 166
* N(E_F): 10.91 states/eV per cell
* energy of formation: -0.391 eV per atom
* total magnetic moment: 0.875 μB per cell



Entry 2:
Entry from Alexandria: a geometry-optimized Mg6AlB structure (PBE).

a b c (Å): 4.7537 6.4103 6.4103
angles (deg): 54.53 90.00 90.00
Last column: nearest neighbours and their distance in Å.
Sites, in units of the cell vectors:
Mg 0.0000 0.0000 0.0000  2 Al 2.94, 8 Mg 2.98-3.13
Mg 0.0000 0.0304 0.4953  3 Mg 2.73-2.97, 2 B 2.74
Mg 0.0000 0.4953 0.0304  3 Mg 2.73-2.97, 2 B 2.74
Mg 0.5000 0.3424 0.8360  1 B 2.45
Mg 0.5000 0.8360 0.3424  1 B 2.45
Mg 0.5000 0.8371 0.8371  10 Mg 2.97-3.24, 2 B 3.06
Al 0.0000 0.5096 0.5096  8 Mg 2.93-3.13
B 0.5000 0.2602 0.2602  6 Mg 2.45-2.74

Values from the calculation:
* symmetry: No. 38
* N(E_F): 2.55 states/eV per cell
* E above lowest polymorph: 0.000 eV per atom
* energy of formation: 0.335 eV per atom
* total magnetic moment: 0.000 μB per cell



Entry 3:
Entry from Alexandria: a geometry-optimized LaNi2Br structure (PBE).

a b c (Å): 3.4891 3.4891 7.3650
angles (deg): 90.00 90.00 90.00
Last column: nearest neighbours and their distance in Å.
Sites, in units of the cell vectors:
La 0.0000 0.0000 0.0000  1 Ni 2.42
Ni 0.0000 0.0000 0.3289  1 La 2.42, 4 Ni 2.50
Ni 0.5000 0.5000 0.2702  4 Ni 2.50
Br 0.5000 0.5000 0.7416  4 La 3.12, 1 Ni 3.47, 4 Br 3.49

Values from the calculation:
* symmetry: No. 99
* N(E_F): 2.90 states/eV per cell
* uncorrected formation energy: -0.29 eV/atom
* E above lowest polymorph: 0.186 eV per atom
* total magnetic moment: 0.001 μB per cell



Entry 4:
Entry from Alexandria: a geometry-optimized HfCdHgMo2 structure (PBE).

a b c (Å): 5.0287 5.0287 4.8891
angles (deg): 90.00 90.00 90.00
Last column: nearest neighbours and their distance in Å.
Sites, in units of the cell vectors:
Hf 0.0000 0.0000 0.0000  8 Mo 3.51, 4 Cd 3.56
Cd 0.5000 0.5000 0.0000  2 Hg 2.44
Hg 0.5000 0.5000 0.5000  2 Cd 2.44, 4 Mo 2.51
Mo 0.0000 0.5000 0.5000  2 Hg 2.51
Mo 0.5000 0.0000 0.5000  2 Hg 2.51

Values from the calculation:
* symmetry: No. 123
* N(E_F): 7.42 states/eV per cell
* energy of formation: 1.916 eV per atom
* total magnetic moment: 0.584 μB per cell



Entry 5:
Entry from Alexandria: a geometry-optimized TiAl2Os structure (PBE).

a b c (Å): 4.3616 4.3616 4.3616
angles (deg): 60.00 60.00 60.00
Last column: nearest neighbours and their distance in Å.
Sites, in units of the cell vectors:
Ti 0.0000 0.0000 0.0000  8 Al 2.67
Al 0.2500 0.2500 0.2500  4 Os 2.67, 4 Ti 2.67
Al 0.7500 0.7500 0.7500  4 Os 2.67, 4 Ti 2.67
Os 0.5000 0.5000 0.5000  8 Al 2.67

Values from the calculation:
* symmetry: No. 225
* N(E_F): 4.62 states/eV per cell
* energy of formation: -0.384 eV per atom
* total magnetic moment: 0.518 μB per cell



Entry 6:
Entry from Alexandria: a geometry-optimized ZnF2 structure (PBE).

a b c (Å): 4.7551 5.7755 5.2485
angles (deg): 90.00 90.00 90.00
Last column: nearest neighbours and their distance in Å.
Sites, in units of the cell vectors:
Zn 0.0000 0.1607 0.2500  6 F 2.03-2.12
Zn 0.0000 0.8393 0.7500  6 F 2.03-2.12
Zn 0.5000 0.3393 0.7500  6 F 2.03-2.12
Zn 0.5000 0.6607 0.2500  6 F 2.03-2.12
F 0.2301 0.1136 0.5814  3 Zn 2.03-2.12
F 0.2301 0.8864 0.0814  3 Zn 2.03-2.12
F 0.2699 0.3864 0.0814  3 Zn 2.03-2.12
F 0.2699 0.6136 0.5814  3 Zn 2.03-2.12
F 0.7301 0.3864 0.4186  3 Zn 2.03-2.12
F 0.7301 0.6136 0.9186  3 Zn 2.03-2.12
F 0.7699 0.1136 0.9186  3 Zn 2.03-2.12
F 0.7699 0.8864 0.4186  3 Zn 2.03-2.12

Values from the calculation:
* symmetry: No. 60
* N(E_F): 0.00 states/eV per cell
* uncorrected formation energy: -2.31 eV/atom
* total magnetic moment: 0.000 μB per cell